P.
Computed, not measured: HfNi3Os after structural relaxation at the PBE level of DFT.

space-group type: Pm-3m (221)
calculated volume: 84.5 Å³/cell

Cell lengths 4.388, 4.388, 4.388 Å; angles 90.00, 90.00, 90.00 degrees
Positions (direct):
Hf  0.000  0.000  0.000
Os  0.500  0.500  0.500
Ni  0.000  0.500  0.000
Ni  0.000  0.000  0.500
Ni  0.500  0.000  0.000

---

Q.
Computed, not measured: HfNi3Os after structural relaxation at the PBE level of DFT.

space-group type: Pm-3m (221)
calculated volume: 87.9 Å³/cell

Cell lengths 4.447, 4.447, 4.447 Å; angles 90.00, 90.00, 90.00 degrees
Positions (direct):
Hf  0.500  0.500  0.500
Os  0.000  0.000  0.000
Ni  0.000  0.500  0.000
Ni  0.000  0.000  0.500
Ni  0.500  0.000  0.000

---

Most stable = Q

---

P.
Computed, not measured: HfNiTe2Os after structural relaxation at the PBE level of DFT.

space-group type: P4/mmm (123)
calculated volume: 132.8 Å³/cell

Cell lengths 5.168, 5.168, 4.971 Å; angles 90.00, 90.00, 90.00 degrees
Positions (direct):
Hf  0.000  0.000  0.500
Te  0.000  0.500  0.000
Te  0.500  0.000  0.000
Os  0.000  0.000  0.000
Ni  0.500  0.500  0.500

---

Q.
Computed, not measured: HfNiTe2Os after structural relaxation at the PBE level of DFT.

space-group type: P4/mmm (123)
calculated volume: 107.7 Å³/cell

Cell lengths 4.809, 4.655, 4.809 Å; angles 90.00, 90.00, 90.00 degrees
Positions (direct):
Hf  0.000  0.500  0.000
Te  0.000  0.000  0.500
Te  0.500  0.000  0.000
Os  0.500  0.500  0.500
Ni  0.000  0.000  0.000

---

Most stable = Q

---

P.
Computed, not measured: Hf4NiP after structural relaxation at the PBE level of DFT.

space-group type: P4/mcc (124)
calculated volume: 215.7 Å³/cell

Cell lengths 6.420, 6.420, 5.233 Å; angles 90.00, 90.00, 90.00 degrees
Positions (direct):
Hf  0.158  0.662  0.500
Hf  0.842  0.338  0.500
Hf  0.662  0.842  0.500
Hf  0.338  0.158  0.500
Hf  0.158  0.338  0.000
Hf  0.842  0.662  0.000
Hf  0.662  0.158  0.000
Hf  0.338  0.842  0.000
Ni  0.000  0.000  0.250
Ni  0.000  0.000  0.750
P  0.500  0.500  0.250
P  0.500  0.500  0.750

---

Q.
Computed, not measured: Hf4NiP after structural relaxation at the PBE level of DFT.

space-group type: I4/mcm (140)
calculated volume: 223.6 Å³/cell

Cell lengths 6.435, 6.435, 7.061 Å; angles 117.11, 117.11, 90.00 degrees
Positions (direct):
Hf  0.474  0.974  0.275
Hf  0.974  0.801  0.275
Hf  0.301  0.474  0.275
Hf  0.699  0.526  0.725
Hf  0.026  0.199  0.725
Hf  0.526  0.026  0.725
Hf  0.199  0.699  0.725
Hf  0.801  0.301  0.275
Ni  0.250  0.250  0.500
Ni  0.750  0.750  0.500
P  0.500  0.500  0.000
P  0.000  0.000  0.000

---

Most stable = P

---

P.
Computed, not measured: Hf3NiP after structural relaxation at the PBE level of DFT.

space-group type: Pm-3m (221)
calculated volume: 106.8 Å³/cell

Cell lengths 4.744, 4.744, 4.744 Å; angles 90.00, 90.00, 90.00 degrees
Positions (direct):
Ni  0.500  0.500  0.500
Hf  0.000  0.500  0.000
Hf  0.000  0.000  0.500
Hf  0.500  0.000  0.000
P  0.000  0.000  0.000

---

Q.
Computed, not measured: Hf3NiP after structural relaxation at the PBE level of DFT.

space-group type: P2_1/c (14)
calculated volume: 369.0 Å³/cell

Cell lengths 6.477, 8.222, 7.070 Å; angles 101.42, 90.00, 90.00 degrees
Positions (direct):
Hf  0.123  0.230  0.190
Hf  0.877  0.770  0.810
Hf  0.623  0.270  0.310
Hf  0.377  0.730  0.690
Hf  0.365  0.552  0.225
Hf  0.635  0.448  0.775
Hf  0.865  0.948  0.275
Hf  0.135  0.052  0.725
Hf  0.628  0.065  0.670
Hf  0.372  0.935  0.330
Hf  0.128  0.435  0.830
Hf  0.872  0.565  0.170
Ni  0.691  0.720  0.476
Ni  0.309  0.280  0.524
Ni  0.191  0.780  0.024
Ni  0.809  0.220  0.976
P  0.430  0.257  0.966
P  0.570  0.743  0.034
P  0.930  0.243  0.534
P  0.070  0.757  0.466

---

Most stable = Q

---

P.
Computed, not measured: HfNi4P2 after structural relaxation at the PBE level of DFT.

space-group type: P4_2/mnm (136)
calculated volume: 171.0 Å³/cell

Cell lengths 6.930, 6.930, 3.560 Å; angles 90.00, 90.00, 90.00 degrees
Positions (direct):
Hf  0.500  0.500  0.000
Hf  0.000  0.000  0.500
Ni  0.583  0.168  0.500
Ni  0.417  0.832  0.500
Ni  0.083  0.332  0.000
Ni  0.917  0.668  0.000
Ni  0.168  0.583  0.500
Ni  0.832  0.417  0.500
Ni  0.332  0.083  0.000
Ni  0.668  0.917  0.000
P  0.719  0.719  0.500
P  0.281  0.281  0.500
P  0.219  0.781  0.000
P  0.781  0.219  0.000

---

Q.
Computed, not measured: HfNi4P2 after structural relaxation at the PBE level of DFT.

space-group type: R-3m (166)
calculated volume: 87.6 Å³/cell

Cell lengths 3.813, 3.813, 7.298 Å; angles 74.86, 74.86, 60.00 degrees
Positions (direct):
Hf  0.000  0.000  0.000
Ni  0.419  0.419  0.743
Ni  0.139  0.139  0.582
Ni  0.581  0.581  0.257
Ni  0.861  0.861  0.418
P  0.249  0.249  0.253
P  0.751  0.751  0.747

---

Most stable = P

---

P.
Computed, not measured: HfNiP2S after structural relaxation at the PBE level of DFT.

space-group type: P4/mmm (123)
calculated volume: 84.5 Å³/cell

Cell lengths 4.303, 4.303, 4.562 Å; angles 90.00, 90.00, 90.00 degrees
Positions (direct):
Ni  0.000  0.000  0.000
S  0.000  0.000  0.500
Hf  0.500  0.500  0.500
P  0.000  0.500  0.000
P  0.500  0.000  0.000

---

Q.
Computed, not measured: HfNiP2S after structural relaxation at the PBE level of DFT.

space-group type: P4/mmm (123)
calculated volume: 119.6 Å³/cell

Cell lengths 4.977, 4.977, 4.828 Å; angles 90.00, 90.00, 90.00 degrees
Positions (direct):
Ni  0.500  0.500  0.500
S  0.000  0.000  0.500
Hf  0.000  0.000  0.000
P  0.000  0.500  0.000
P  0.500  0.000  0.000

---

Most stable = P

---

P.
Computed, not measured: Hf2NiPb2 after structural relaxation at the PBE level of DFT.

space-group type: P4/mbm (127)
calculated volume: 228.8 Å³/cell

Cell lengths 6.791, 6.791, 4.962 Å; angles 90.00, 90.00, 90.00 degrees
Positions (direct):
Pb  0.165  0.665  0.500
Pb  0.665  0.835  0.500
Pb  0.835  0.335  0.500
Pb  0.335  0.165  0.500
Ni  0.000  0.000  0.000
Ni  0.500  0.500  0.000
Hf  0.336  0.836  0.000
Hf  0.836  0.664  0.000
Hf  0.664  0.164  0.000
Hf  0.164  0.336  0.000

---

Q.
Computed, not measured: Hf2NiPb2 after structural relaxation at the PBE level of DFT.

space-group type: P4/mbm (127)
calculated volume: 213.8 Å³/cell

Cell lengths 6.802, 6.802, 4.621 Å; angles 90.00, 90.00, 90.00 degrees
Positions (direct):
Pb  0.347  0.847  0.000
Pb  0.847  0.653  0.000
Pb  0.653  0.153  0.000
Pb  0.153  0.347  0.000
Ni  0.000  0.000  0.000
Ni  0.500  0.500  0.000
Hf  0.161  0.661  0.500
Hf  0.661  0.839  0.500
Hf  0.839  0.339  0.500
Hf  0.339  0.161  0.500

---

Most stable = P

---

P.
Computed, not measured: Hf2NiPd2 after structural relaxation at the PBE level of DFT.

space-group type: P4/mbm (127)
calculated volume: 177.1 Å³/cell

Cell lengths 7.161, 7.161, 3.454 Å; angles 90.00, 90.00, 90.00 degrees
Positions (direct):
Ni  0.000  0.000  0.000
Ni  0.500  0.500  0.000
Hf  0.174  0.674  0.500
Hf  0.674  0.826  0.500
Hf  0.826  0.326  0.500
Hf  0.326  0.174  0.500
Pd  0.367  0.867  0.000
Pd  0.867  0.633  0.000
Pd  0.633  0.133  0.000
Pd  0.133  0.367  0.000

---

Q.
Computed, not measured: Hf2NiPd2 after structural relaxation at the PBE level of DFT.

space-group type: P4/mbm (127)
calculated volume: 183.1 Å³/cell

Cell lengths 7.366, 7.366, 3.374 Å; angles 90.00, 90.00, 90.00 degrees
Positions (direct):
Ni  0.000  0.000  0.000
Ni  0.500  0.500  0.000
Hf  0.333  0.833  0.000
Hf  0.833  0.667  0.000
Hf  0.667  0.167  0.000
Hf  0.167  0.333  0.000
Pd  0.133  0.633  0.500
Pd  0.633  0.867  0.500
Pd  0.867  0.367  0.500
Pd  0.367  0.133  0.500

---

Most stable = P